1.
First-principles (GGA-PBE) data for a relaxed structure of LiScSnW2, as listed in Alexandria.

POSCAR file:
```
LiScSnW2
1.0
-3.089 0.960 2.988
1.450 -3.372 2.583
2.798 2.743 2.010
Sc Li W Sn
1 1 2 1
Cartesian
0.580 0.165 3.791
0.000 0.000 0.000
1.399 1.371 1.005
-1.544 0.480 1.494
0.725 -1.686 1.291
```

Properties
Density of states at the Fermi level = 2.74 states/eV per cell
Raw total energy = -0.49173 Ry/atom
Energy of formation from the pure elements = 0.94 eV per atom
Total magnetization = 0.000 μB/atom

***

2.
First-principles (GGA-PBE) data for a relaxed structure of TbYLuTl, as listed in Alexandria.

POSCAR file:
```
TbYLuTl
1.0
5.448 0.000 0.000
2.724 4.718 0.000
2.724 1.573 4.448
Lu Y Tb Tl
1 1 1 1
Cartesian
2.724 1.573 1.112
5.448 3.145 2.224
0.000 0.000 0.000
8.172 4.718 3.336
```

Properties
Density of states at the Fermi level = 5.88 states/eV per cell
Raw total energy = -0.33422 Ry/atom
Energy of formation from the pure elements = -0.05 eV per atom
Total magnetization = 0.304 μB/atom